Material: Tc
Method: DFT, PBE-GGA
State: relaxed

Formation energy = 0.010 eV/atom
Crystal system = hexagonal
Polymorph energy (0 for the lowest one) = 0.0097 eV/atom
Total magnetic moment = 0.0 μB/f.u.

```
data_Tc
_symmetry_space_group_name_H-M 'P 63/m m c'
_symmetry_Int_Tables_number 194
_symmetry_space_group_name_Hall '-P 6c 2c'
_cell_length_a 2.7545
_cell_length_b 2.7545
_cell_length_c 8.8659
_cell_angle_alpha 90.00
_cell_angle_beta 90.00
_cell_angle_gamma 120.00
loop_
_atom_site_label
_atom_site_type_symbol
_atom_site_fract_x
_atom_site_fract_y
_atom_site_fract_z
_atom_site_occupancy
Tc1 Tc 0.0000 0.0000 0.0000 1
Tc2 Tc 0.3333 0.6667 0.2500 1
```